First-principles (PBE) data for a relaxed structure of GeSeBr2, as listed in Alexandria via LeMat-Bulk.

- Energy: -3.32 eV/atom
- ΔE_f (raw): -0.458 eV/atom
- Excess energy over the best structure of this formula in the dataset: 18 meV/atom
- Density: 3.43 g/cm3

Cell lengths 3.747, 6.318, 7.111 Å; angles 116.21, 92.57, 90.02 degrees
Element x y z (fractional)
Ge (0.026, 0.305, 0.620)
Se (0.526, 0.544, 0.618)
Br (0.049, 0.233, 0.913)
Br (0.003, 0.939, 0.329)